1.
SmErZn4 | PBE | optimized geometry

```
SmErZn4
1.0
3.744 0.000 0.000
0.000 3.808 0.000
-0.024 -0.048 9.801
Sm Er Zn
1 1 4
direct
0.000 0.000 0.000
0.500 0.500 0.500
0.000 0.499 0.746
0.000 0.501 0.254
0.500 0.001 0.743
0.500 0.999 0.257
```

=====

2.
Sm4ErZn | PBE | optimized geometry

```
Sm4ErZn
1.0
3.615 0.000 0.000
0.000 3.615 0.000
0.000 0.000 13.814
Sm Er Zn
4 1 1
direct
0.000 0.000 0.132
0.000 0.000 0.868
0.500 0.500 0.320
0.500 0.500 0.680
0.000 0.000 0.500
0.500 0.500 0.000
```

=====

3.
SmEr7Zn4 | PBE | optimized geometry

```
SmEr7Zn4
1.0
6.934 -2.754 0.000
6.934 2.754 0.000
-5.210 0.000 8.073
Sm Er Zn
1 7 4
direct
0.000 0.000 0.000
0.072 0.072 0.407
0.210 0.210 0.880
0.278 0.278 0.328
0.500 0.500 0.000
0.722 0.722 0.672
0.790 0.790 0.120
0.928 0.928 0.593
0.321 0.321 0.662
0.460 0.460 0.269
0.540 0.540 0.731
0.679 0.679 0.338
```

=====

no.,uncorrected energy (eV/cell),energy of formation from the pure elements (eV per atom)
1,-14.27,0.02
2,-25.28,-0.10
3,-41.65,0.01